Run i
The following is a DFT calculation (PBE) of a relaxed Ac5Tl2Ge2 crystal.

Output
- Space-group type: No. 46

a b c (Å): 7.7766 9.2154 10.9616
angles (deg): 114.86 110.78 90.00
Element x y z (fractional)
Ac1 0.5263 0.1805 0.7015
Tl1 0.7323 0.8877 0.5000
Ac2 0.2173 0.6871 0.8687
Ge1 0.5096 0.9632 0.8749
Ac3 0.8485 0.3184 0.1313
Ge2 0.8654 0.4632 0.8749
Tl2 0.5000 0.4887 0.0000
Tl3 0.2677 0.3877 0.5000
Ac4 0.1515 0.1871 0.8687
Ac5 0.8712 0.2430 0.5000
Ac6 0.3249 0.9791 0.2985
Ac7 0.1288 0.7430 0.5000
Ge3 0.1346 0.5883 0.1251
Ac8 0.4737 0.4791 0.2985
Ge4 0.4904 0.0883 0.1251
Ac9 0.7827 0.8184 0.1313
Ac10 0.6751 0.6805 0.7015
Tl4 0.0000 0.9887 0.0000


Run ii
The following is a DFT calculation (PBE) of a relaxed Ac5Tl2Ge2 crystal.

Output
- Space-group type: No. 64

a b c (Å): 8.5862 8.6655 9.5810
angles (deg): 90.00 63.38 90.00
Element x y z (fractional)
Tl1 0.7112 0.5000 0.5775
Ac1 0.2996 0.6671 0.7445
Ac2 0.2004 0.1671 0.2555
Ac3 0.5000 0.5000 0.0000
Ac4 0.7996 0.8329 0.7445
Tl2 0.2888 0.5000 0.4225
Ge1 0.3673 0.8638 0.0000
Tl3 0.7888 0.0000 0.4225
Ac5 0.9558 0.3329 0.7445
Ac6 0.7004 0.3329 0.2555
Ge2 0.8673 0.6362 0.0000
Ac7 0.0000 0.0000 0.0000
Ge3 0.6327 0.1362 0.0000
Ac8 0.0442 0.6671 0.2555
Tl4 0.2112 0.0000 0.5775
Ge4 0.1327 0.3638 0.0000
Ac9 0.4558 0.1671 0.7445
Ac10 0.5442 0.8329 0.2555


Least stable structure: run i


Run i
The following is a DFT calculation (PBE) of a relaxed Ac2TmGe crystal.

Output
- Space-group type: No. 123

a b c (Å): 4.7781 5.1695 5.1695
angles (deg): 90.00 90.00 90.00
Element x y z (fractional)
Tm1 0.5000 0.5000 0.5000
Ac1 0.0000 0.0000 0.5000
Ge1 0.5000 0.0000 0.0000
Ac2 0.0000 0.5000 0.0000


Run ii
The following is a DFT calculation (PBE) of a relaxed Ac2TmGe crystal.

Output
- Space-group type: No. 166

a b c (Å): 3.8687 3.8687 11.8735
angles (deg): 80.62 80.62 60.00
Element x y z (fractional)
Ac1 0.1039 0.1039 0.6883
Ac2 0.8961 0.8961 0.3117
Tm1 0.0000 0.0000 0.0000
Ge1 0.5000 0.5000 0.5000


Least stable structure: run ii


Run i
The following is a DFT calculation (PBE) of a relaxed AcVGe crystal.

Output
- Space-group type: No. 187

a b c (Å): 4.5572 4.4369 4.4369
angles (deg): 120.00 90.00 90.00
Site moments in Bohr magnetons follow the coordinates.
Element x y z (fractional)
Ge1 0.1665 0.6667 0.3333  -0.10
V1 0.1667 0.0000 0.0000  2.25
Ac1 0.6668 0.3333 0.6667  0.04


Run ii
The following is a DFT calculation (PBE) of a relaxed AcVGe crystal.

Output
- Space-group type: No. 63

a b c (Å): 4.4834 4.7814 8.1317
angles (deg): 72.90 90.00 90.00
Site moments in Bohr magnetons follow the coordinates.
Element x y z (fractional)
Ge1 0.2500 0.1475 0.7051  -0.01
Ac1 0.2500 0.3554 0.2892  0.00
V1 0.0000 0.0000 0.0000  0.22
Ge2 0.7500 0.8525 0.2949  -0.01
Ac2 0.7500 0.6446 0.7108  0.00
V2 0.5000 0.0000 0.0000  0.22


Least stable structure: run ii


Run i
The following is a DFT calculation (PBE) of a relaxed Ac2YGe crystal.

Output
- Space-group type: No. 166

a b c (Å): 3.7970 3.7970 12.4383
angles (deg): 81.22 81.22 60.00
Element x y z (fractional)
Ge1 0.0000 0.0000 0.0000
Ac1 0.9151 0.9151 0.2547
Y1 0.5000 0.5000 0.5000
Ac2 0.0849 0.0849 0.7453


Run ii
The following is a DFT calculation (PBE) of a relaxed Ac2YGe crystal.

Output
- Space-group type: No. 123

a b c (Å): 4.8917 5.1265 5.1265
angles (deg): 90.00 90.00 90.00
Element x y z (fractional)
Y1 0.5000 0.5000 0.5000
Ge1 0.5000 0.0000 0.0000
Ac1 0.0000 0.0000 0.5000
Ac2 0.0000 0.5000 0.0000


Least stable structure: run i


Run i
The following is a DFT calculation (PBE) of a relaxed AcYGe4 crystal.

Output
- Space-group type: No. 216

a b c (Å): 5.8172 5.8172 5.8172
angles (deg): 60.00 60.00 60.00
Element x y z (fractional)
Ac1 0.2500 0.2500 0.2500
Ge1 0.1097 0.6301 0.6301
Y1 0.0000 0.0000 0.0000
Ge2 0.6301 0.1097 0.6301
Ge3 0.6301 0.6301 0.1097
Ge4 0.6301 0.6301 0.6301


Run ii
The following is a DFT calculation (PBE) of a relaxed AcYGe4 crystal.

Output
- Space-group type: No. 55

a b c (Å): 4.2452 7.8825 17.6508
angles (deg): 90.00 90.00 90.00
Element x y z (fractional)
Ac1 0.0000 0.8618 0.8342
Ac2 0.0000 0.6382 0.3342
Y1 0.0000 0.6386 0.0860
Y2 0.0000 0.8614 0.5860
Ge1 0.5000 0.0240 0.6835
Ge2 0.5000 0.2036 0.8023
Ge3 0.5000 0.0910 0.9376
Ge4 0.5000 0.3483 0.0396
Ge5 0.5000 0.8483 0.4604
Ge6 0.5000 0.5240 0.8165
Ge7 0.5000 0.9760 0.3165
Y3 0.0000 0.3614 0.9140
Ge8 0.5000 0.1517 0.5396
Ge9 0.5000 0.2964 0.3023
Ge10 0.5000 0.6517 0.9604
Ge11 0.5000 0.5910 0.5624
Ac3 0.0000 0.1382 0.1658
Y4 0.0000 0.1386 0.4140
Ge12 0.5000 0.7964 0.1977
Ge13 0.5000 0.4760 0.1835
Ge14 0.5000 0.4090 0.4376
Ge15 0.5000 0.7036 0.6977
Ac4 0.0000 0.3618 0.6658
Ge16 0.5000 0.9090 0.0624


Least stable structure: run i


Run i
The following is a DFT calculation (PBE) of a relaxed AcYGe crystal.

Output
- Space-group type: No. 216

a b c (Å): 5.1646 5.1646 5.1646
angles (deg): 60.00 60.00 60.00
Element x y z (fractional)
Ge1 0.2500 0.2500 0.2500
Ac1 0.5000 0.5000 0.5000
Y1 0.0000 0.0000 0.0000


Run ii
The following is a DFT calculation (PBE) of a relaxed AcYGe crystal.

Output
- Space-group type: No. 129

a b c (Å): 4.6551 4.6562 8.4884
angles (deg): 90.00 90.00 90.00
Site moments in Bohr magnetons follow the coordinates.
Element x y z (fractional)
Ac1 0.8136 0.8664 0.5619  0.20
Y1 0.8136 0.3664 0.9196  0.30
Y2 0.3136 0.8664 0.9196  0.30
Ge1 0.3135 0.3666 0.6804  -0.01
Ge2 0.8136 0.8666 0.1587  -0.01
Ac2 0.3136 0.3664 0.2773  0.20


Least stable structure: run i


Run i
The following is a DFT calculation (PBE) of a relaxed AcYGe crystal.

Output
- Space-group type: No. 156

a b c (Å): 4.6225 4.9020 4.9020
angles (deg): 120.00 90.00 90.00
Element x y z (fractional)
Y1 0.4992 0.6667 0.3333
Ac1 0.9996 0.0000 0.0000
Ge1 0.5012 0.3333 0.6667


Run ii
The following is a DFT calculation (PBE) of a relaxed AcYGe crystal.

Output
- Space-group type: No. 189

a b c (Å): 4.5801 8.2713 8.2713
angles (deg): 120.00 90.00 90.00
Site moments in Bohr magnetons follow the coordinates.
Element x y z (fractional)
Ge1 0.5000 0.3333 0.6667  -0.01
Y1 0.5000 0.2505 0.0000  0.26
Y2 0.5000 0.0000 0.2505  0.26
Ge2 0.0000 0.0000 0.0000  -0.01
Ac1 0.0000 0.5929 0.0000  0.14
Ac2 0.0000 0.0000 0.5929  0.14
Y3 0.5000 0.7495 0.7495  0.26
Ac3 0.0000 0.4071 0.4071  0.14
Ge3 0.5000 0.6667 0.3333  -0.01


Least stable structure: run i


Run i
The following is a DFT calculation (PBE) of a relaxed Ac2Zn2Ge3 crystal.

Output
- Space-group type: No. 12

a b c (Å): 4.5515 5.8805 7.0964
angles (deg): 105.27 90.00 112.77
Element x y z (fractional)
Ge1 0.5000 0.0000 0.0000
Zn1 0.1720 0.3440 0.2943
Ge2 0.5976 0.1953 0.4293
Zn2 0.8280 0.6560 0.7057
Ac1 0.1346 0.2693 0.7860
Ge3 0.4024 0.8047 0.5707
Ac2 0.8654 0.7307 0.2140


Run ii
The following is a DFT calculation (PBE) of a relaxed Ac2Zn2Ge3 crystal.

Output
- Space-group type: No. 63

a b c (Å): 4.5854 7.2542 10.3995
angles (deg): 90.00 102.74 90.00
Element x y z (fractional)
Zn1 0.6796 0.5686 0.3592
Ge1 0.4364 0.5735 0.8728
Ge2 0.4364 0.9265 0.8728
Zn2 0.3204 0.0686 0.6408
Ac1 0.9541 0.2500 0.9082
Ac2 0.1660 0.2500 0.3321
Ge3 0.5636 0.4265 0.1272
Ac3 0.8340 0.7500 0.6679
Zn3 0.6796 0.9314 0.3592
Ge4 0.7871 0.2500 0.5743
Ge5 0.5636 0.0735 0.1272
Zn4 0.3204 0.4314 0.6408
Ac4 0.0459 0.7500 0.0918
Ge6 0.2129 0.7500 0.4257


Least stable structure: run i